# Sm4Dy6Zr | Alexandria via LeMat-Bulk | GGA-PBE | optimized geometry
data_Sm4Dy6Zr
_chemical_formula_sum 'Sm8 Dy12 Zr2'
_space_group_name_H-M_alt 'P 1'
_space_group_IT_number 1
_space_group_name_Hall 'P 1'
_cell_length_a 8.6931
_cell_length_b 8.6931
_cell_length_c 9.1354
_cell_angle_alpha 90.00
_cell_angle_beta 90.00
_cell_angle_gamma 90.00
loop_
_atom_site_label
_atom_site_type_symbol
_atom_site_fract_x
_atom_site_fract_y
_atom_site_fract_z
Dy1 Dy 0.6522 0.1573 0.0000
Dy2 Dy 0.1573 0.3478 0.0000
Sm1 Sm 0.1448 0.6448 0.2500
Sm2 Sm 0.8552 0.3552 0.2500
Sm3 Sm 0.8552 0.3552 0.7500
Dy3 Dy 0.3427 0.8478 0.5000
Dy4 Dy 0.8478 0.6573 0.5000
Sm4 Sm 0.1448 0.6448 0.7500
Dy5 Dy 0.5000 0.5000 0.3244
Dy6 Dy 0.5000 0.5000 0.6756
Dy7 Dy 0.8427 0.6522 0.0000
Zr1 Zr 0.5000 0.5000 0.0000
Sm5 Sm 0.3552 0.1448 0.2500
Sm6 Sm 0.3552 0.1448 0.7500
Zr2 Zr 0.0000 0.0000 0.5000
Dy8 Dy 0.0000 0.0000 0.1756
Dy9 Dy 0.0000 0.0000 0.8244
Sm7 Sm 0.6448 0.8552 0.2500
Dy10 Dy 0.6573 0.1522 0.5000
Dy11 Dy 0.3478 0.8427 0.0000
Dy12 Dy 0.1522 0.3427 0.5000
Sm8 Sm 0.6448 0.8552 0.7500
# ΔE_f (kJ/mol of atoms): 13.70
# Space-group type: No. 128